SiTcRh2 (PBE, relaxed); space group = No. 122
1.0
-0.804 3.245 1.721
-2.456 0.835 -2.721
-7.874 -1.862 3.939
Rh Si Tc
4 2 2
direct
0.875 0.866 0.750
0.375 0.384 0.750
0.616 0.125 0.250
0.134 0.625 0.250
0.250 0.750 0.500
0.500 0.500 0.000
0.000 0.000 0.000
0.750 0.250 0.500

SiTcRh (PBE, relaxed); space group = No. 62; E above lowest polymorph = 0.056 eV/atom
1.0
4.167 0.000 0.000
0.000 5.731 0.000
0.000 0.000 7.631
Rh Si Tc
4 4 4
direct
0.750 0.516 0.133
0.250 0.016 0.367
0.250 0.484 0.867
0.750 0.984 0.633
0.250 0.193 0.648
0.750 0.693 0.852
0.750 0.807 0.352
0.250 0.307 0.148
0.750 0.460 0.579
0.750 0.040 0.079
0.250 0.540 0.421
0.250 0.960 0.921

SiTcRh (PBE, relaxed); space group = No. 107; E above lowest polymorph = 0.000 eV/atom
1.0
5.245 -0.005 0.005
4.447 2.781 0.003
0.798 0.230 2.776
Rh Si Tc
1 1 1
direct
0.983 0.983 0.017
0.333 0.333 0.667
0.684 0.684 0.316

Number 1: uncorrected formation energy 0.174 eV per atom, calculated volume 15.19 Å³ per atom, E -59.59 eV/cell. Number 2: uncorrected formation energy -0.347 eV per atom, calculated volume 15.19 Å³ per atom, E -96.72 eV/cell. Number 3: uncorrected formation energy -0.402 eV per atom, calculated volume 13.51 Å³ per atom, E -24.35 eV/cell.